The following is a PBE calculation of a relaxed structure of Pm2PaS6, from Alexandria via LeMat-Bulk.

Cell: 7.4068 7.4068 4.0363 Å, 90.00 90.00 120.00°
Last column: nearest neighbours and their distance in Å.
Sites, in units of the cell vectors:
Pm 0.3333 0.6667 0.0000  9 S 2.84-3.03
Pm 0.6667 0.3333 0.0000  9 S 2.84-3.03
Pa 0.0000 0.0000 0.5000  9 S 2.73-2.96
S 0.0000 0.2485 0.0000  2 Pa 2.73, 2 Pm 2.84
S 0.0000 0.5997 0.5000  1 Pa 2.96, 4 Pm 3.03, 6 S 3.29
S 0.2485 0.0000 0.0000  2 Pa 2.73, 2 Pm 2.84
S 0.4003 0.4003 0.5000  1 Pa 2.96, 4 Pm 3.03, 6 S 3.29
S 0.5997 0.0000 0.5000  1 Pa 2.96, 4 Pm 3.03, 6 S 3.29
S 0.7515 0.7515 0.0000  2 Pa 2.73, 2 Pm 2.84

* DFT total energy: -6.5613 eV/atom
* space group: P-62m (189)
* raw formation energy: -1.699 eV per atom